The following is a GGA+U calculation of an optimized crystal structure of YCoNO, from the Open Quantum Materials Database.

Calculated values
Energy above the most stable polymorph in this dataset: 0.1347 eV/atom
Magnetization: 3.0 μB/f.u.
Energy: -7.5006 eV per atom

a = 3.615 Å, b = 5.681 Å, c = 5.604 Å
α = 90.00°, β = 90.00°, γ = 90.00°
Space group Pmc2_1 (No. 26)
Unique sites:
Y 0.000 0.225 0.000 x2
Co 0.500 0.308 0.495 x2
N 0.500 0.378 0.831 x2
O 0.000 0.149 0.394 x2